[1]
Entry from OQMD: crystalline LaMg4GaPt2 at its relaxed geometry (PBE).

Geometry as POSCAR:
```
LaMg4GaPt2
1.0
-3.476 7.144 -0.880
-2.545 -0.655 4.737
1.368 1.291 5.079
La Mg Ga Pt
1 4 1 2
direct
0.500 0.061 0.061 La
0.283 0.353 0.353 Mg
0.184 0.657 0.657 Mg
0.816 0.657 0.657 Mg
0.717 0.353 0.353 Mg
0.000 0.944 0.944 Ga
0.000 0.203 0.203 Pt
0.500 0.771 0.771 Pt
```

Values from the calculation:
SG	Amm2
VASP energy	-30.83	eV/cell
ρ	6.66	g cm⁻³


[2]
Entry from OQMD: crystalline La2TbMg3Tl2Ga at its relaxed geometry (PBE).

Geometry as POSCAR:
```
La2TbMg3Tl2Ga
1.0
-2.123 1.250 -3.991
-4.997 4.247 3.988
6.507 3.256 -2.441
La Tl Ga Mg Tb
2 2 1 3 1
direct
0.000 0.002 0.416 La
0.000 0.416 0.002 La
0.500 0.662 0.341 Tl
0.500 0.341 0.662 Tl
0.000 0.990 0.990 Ga
0.500 0.999 0.763 Mg
0.500 0.234 0.234 Mg
0.500 0.763 0.999 Mg
0.000 0.593 0.593 Tb
```

Values from the calculation:
SG	Amm2
VASP energy	-30.41	eV/cell
ρ	6.78	g cm⁻³


[3]
Entry from OQMD: crystalline LaGa40Mo8 at its relaxed geometry (PBE).

Geometry as POSCAR:
```
LaGa40Mo8
1.0
-9.229 1.301 -2.336
-1.715 -0.465 9.443
2.037 9.389 0.108
Ga Mo La
40 8 1
direct
0.595 0.787 0.964 Ga
0.439 0.074 0.777 Ga
0.307 0.833 0.879 Ga
0.142 0.292 0.961 Ga
0.708 0.039 0.858 Ga
0.561 0.926 0.223 Ga
0.362 0.733 0.387 Ga
0.039 0.858 0.708 Ga
0.733 0.387 0.362 Ga
0.036 0.405 0.213 Ga
0.926 0.223 0.561 Ga
0.292 0.961 0.142 Ga
0.167 0.121 0.693 Ga
0.879 0.307 0.833 Ga
0.500 0.500 0.000 Ga
0.213 0.036 0.405 Ga
0.613 0.638 0.267 Ga
0.500 0.500 0.500 Ga
0.000 0.500 0.500 Ga
0.964 0.595 0.787 Ga
0.223 0.561 0.926 Ga
0.329 0.472 0.227 Ga
0.267 0.613 0.638 Ga
0.387 0.362 0.733 Ga
0.693 0.167 0.121 Ga
0.472 0.227 0.329 Ga
0.121 0.693 0.167 Ga
0.671 0.528 0.773 Ga
0.787 0.964 0.595 Ga
0.528 0.773 0.671 Ga
0.777 0.439 0.074 Ga
0.227 0.329 0.472 Ga
0.405 0.213 0.036 Ga
0.773 0.671 0.528 Ga
0.858 0.708 0.039 Ga
0.638 0.267 0.613 Ga
0.500 0.000 0.500 Ga
0.961 0.142 0.292 Ga
0.833 0.879 0.307 Ga
0.074 0.777 0.439 Ga
0.609 0.289 0.887 Mo
0.214 0.214 0.214 Mo
0.786 0.786 0.786 Mo
0.289 0.887 0.609 Mo
0.391 0.711 0.113 Mo
0.887 0.609 0.289 Mo
0.113 0.391 0.711 Mo
0.711 0.113 0.391 Mo
0.000 0.000 0.000 La
```

Values from the calculation:
SG	R-3
VASP energy	-220.40	eV/cell
ρ	6.98	g cm⁻³


[4]
Entry from OQMD: crystalline LaGaMo at its relaxed geometry (PBE).

Geometry as POSCAR:
```
LaGaMo
1.0
0.000 3.486 3.486
3.486 0.000 3.486
3.486 3.486 0.000
La Mo Ga
1 1 1
direct
0.000 0.000 0.000 La
0.750 0.750 0.750 Mo
0.250 0.250 0.250 Ga
```

Values from the calculation:
SG	F-43m
VASP energy	-15.47	eV/cell
ρ	5.97	g cm⁻³


[5]
Entry from OQMD: crystalline LaGaMo at its relaxed geometry (PBE).

Geometry as POSCAR:
```
LaGaMo
1.0
0.000 3.244 3.244
3.244 0.000 3.244
3.244 3.244 0.000
Ga La Mo
1 1 1
direct
0.250 0.250 0.250 Ga
0.750 0.750 0.750 La
0.000 0.000 0.000 Mo
```

Values from the calculation:
SG	F-43m
VASP energy	-17.52	eV/cell
ρ	7.41	g cm⁻³


[6]
Entry from OQMD: crystalline NaLaGa4Pd2 at its relaxed geometry (PBE).

Geometry as POSCAR:
```
NaLaGa4Pd2
1.0
-2.735 3.550 5.461
0.017 -4.614 3.008
3.747 -2.261 3.346
Pd Ga Na La
2 4 1 1
direct
0.500 0.206 0.206 Pd
0.000 0.789 0.789 Pd
0.686 0.643 0.643 Ga
0.314 0.643 0.643 Ga
0.794 0.361 0.361 Ga
0.206 0.361 0.361 Ga
0.500 0.925 0.925 Na
0.000 0.072 0.072 La
```

Values from the calculation:
SG	Amm2
VASP energy	-33.33	eV/cell
ρ	6.89	g cm⁻³


Volume list, top to bottom, in Å³ per atom: 21.69; 26.89; 17.95; 28.25; 22.75; 19.71
Magnetic moment list, top to bottom, in μB per cell: 0.034; 0.000; 0.016; 3.430; 0.001; 0.000